A plane-wave DFT calculation with PBE was carried out for a relaxed structure of YSbTeC2. Values from VASP.

Cell and atoms, written as Quantum ESPRESSO input:
```
&SYSTEM
  ibrav = 0, nat = 5, ntyp = 4
/
ATOMIC_SPECIES
Y 88.91 Y.upf
Sb 121.76 Sb.upf
C 12.01 C.upf
Te 127.60 Te.upf
CELL_PARAMETERS angstrom
4.366 0.000 0.000
0.000 6.021 0.000
0.000 0.000 4.366
ATOMIC_POSITIONS angstrom
Y 0.000 3.010 0.000
Sb 2.183 3.010 2.183
C 0.000 0.000 2.183
C 2.183 0.000 0.000
Te 0.000 0.000 0.000
```

## Properties
N(E_F)   4.8 states/eV/cell
SG   No. 123
Formation energy without anion corrections   1723 meV per atom


A plane-wave DFT calculation with PBE was carried out for a relaxed structure of YSbTe2C. Values from VASP.

Cell and atoms, written as Quantum ESPRESSO input:
```
&SYSTEM
  ibrav = 0, nat = 5, ntyp = 4
/
ATOMIC_SPECIES
Y 88.91 Y.upf
Sb 121.76 Sb.upf
C 12.01 C.upf
Te 127.60 Te.upf
CELL_PARAMETERS angstrom
5.803 0.000 0.000
0.000 5.803 0.000
0.000 0.000 5.903
ATOMIC_POSITIONS angstrom
Y 0.000 0.000 0.000
Sb 0.000 0.000 2.951
C 2.901 2.901 2.951
Te 0.000 2.901 0.000
Te 2.901 0.000 0.000
```

## Properties
Energy above the lowest structure with this stoichiometry   5.241 eV/f.u.
N(E_F)   8.9 states/eV/cell
SG   No. 123
Formation energy without anion corrections   1417 meV per atom


So what do the calculations give for spin magnetization? Going down the list: 0.00; 1.56 μB/cell.
So what do the calculations give for E? Going down the list: -4.713; -3.801 eV per atom.